No. 1
First-principles (GGA-PBE) data for crystalline CeHo2PuS4 at its relaxed geometry, as listed in Alexandria.

Summary:
* V: 21.6 Å³/atom
* E_form (uncorrected): -1.963 eV per atom
* magnetization: 6.62 μB per formula unit
* energy: -61.64 eV per formula unit

Unit cell a=3.9130 b=6.7923 c=6.8862 alpha=109.12 beta=90.00 gamma=90.00
Last column: nearest neighbours and their distance in Å.
Fractional positions:
Ho 0.0000 0.5000 0.5000  6 S 2.74
Ho 0.5000 0.0000 0.5000  6 S 2.76
S 0.0000 0.7504 0.2587  3 Ho 2.74-2.76, 2 Pu 2.81, 1 Ce 2.83
S 0.5000 0.7436 0.7387  3 Ho 2.74-2.76, 1 Pu 2.82, 2 Ce 2.84
S 0.0000 0.2496 0.7413  3 Ho 2.74-2.76, 2 Pu 2.81, 1 Ce 2.83
S 0.5000 0.2564 0.2613  3 Ho 2.74-2.76, 1 Pu 2.82, 2 Ce 2.84
Ce 0.0000 0.0000 0.0000  6 S 2.83-2.84
Pu 0.5000 0.5000 0.0000  6 S 2.81-2.82



No. 2
First-principles (GGA-PBE) data for crystalline Ce3HoPu2S6 at its relaxed geometry, as listed in Alexandria.

Summary:
* V: 22.2 Å³/atom
* E_form (uncorrected): -1.948 eV per atom
* magnetization: 13.10 μB per formula unit
* energy: -99.18 eV per formula unit

Unit cell a=6.8733 b=6.8733 c=6.9056 alpha=99.55 beta=99.55 gamma=120.02
Last column: nearest neighbours and their distance in Å.
Fractional positions:
Pu 0.3336 0.6664 0.0000  6 S 2.78
Pu 0.6664 0.3336 0.0000  6 S 2.78
Ce 0.8326 0.1674 0.5000  6 S 2.84-2.86
Ce 0.5000 0.5000 0.5000  6 S 2.84-2.86
Ce 0.1674 0.8326 0.5000  6 S 2.84-2.86
S 0.2503 0.2503 0.7584  1 Ho 2.77, 2 Pu 2.78, 3 Ce 2.84-2.86
S 0.0799 0.4110 0.2401  1 Ho 2.76, 2 Pu 2.78, 3 Ce 2.84-2.86
S 0.7497 0.7497 0.2416  1 Ho 2.77, 2 Pu 2.78, 3 Ce 2.84-2.86
S 0.9201 0.5890 0.7599  1 Ho 2.76, 2 Pu 2.78, 3 Ce 2.84-2.86
S 0.4110 0.0799 0.2401  1 Ho 2.76, 2 Pu 2.78, 3 Ce 2.84-2.86
S 0.5890 0.9201 0.7599  1 Ho 2.76, 2 Pu 2.78, 3 Ce 2.84-2.86
Ho 0.0000 0.0000 0.0000  6 S 2.76-2.77



No. 3
First-principles (GGA-PBE) data for crystalline Ce2HoPuS5 at its relaxed geometry, as listed in Alexandria.

Summary:
* V: 27.8 Å³/atom
* E_form (uncorrected): -1.418 eV per atom
* magnetization: 3.22 μB per formula unit
* energy: -64.18 eV per formula unit

Unit cell a=4.8835 b=4.8835 c=10.4851 alpha=90.00 beta=90.00 gamma=90.00
Last column: nearest neighbours and their distance in Å.
Fractional positions:
Ce 0.5000 0.5000 0.2977  9 S 3.12-3.49
Ce 0.5000 0.5000 0.7023  9 S 3.12-3.49
S 0.0000 0.0000 0.2490  1 Pu 2.61, 1 Ho 2.63
S 0.5000 0.0000 0.5000  2 Ho 2.44
S 0.0000 0.0000 0.7510  1 Pu 2.61, 1 Ho 2.63
S 0.5000 0.5000 0.0000  2 Ce 3.12, 4 Pu 3.45
S 0.0000 0.5000 0.5000  2 Ho 2.44
Ho 0.0000 0.0000 0.5000  6 S 2.44-2.63
Pu 0.0000 0.0000 0.0000  2 S 2.61



No. 4
First-principles (GGA-PBE) data for crystalline Ce3Ho4PuS8 at its relaxed geometry, as listed in Alexandria.

Summary:
* V: 21.7 Å³/atom
* E_form (uncorrected): -1.993 eV per atom
* magnetization: 7.84 μB per formula unit
* energy: -115.36 eV per formula unit

Unit cell a=7.8561 b=7.9293 c=7.8567 alpha=119.70 beta=120.00 gamma=90.00
Last column: nearest neighbours and their distance in Å.
Fractional positions:
S 0.2439 0.2390 0.9915  3 Ho 2.74-2.76, 1 Pu 2.82, 2 Ce 2.84
S 0.7561 0.7610 0.0085  3 Ho 2.74-2.76, 1 Pu 2.82, 2 Ce 2.84
S 0.2524 0.7610 0.0085  3 Ho 2.74-2.76, 1 Pu 2.82, 2 Ce 2.84
S 0.7475 0.2390 0.4950  3 Ho 2.74-2.76, 1 Pu 2.82, 2 Ce 2.84
S 0.2455 0.2364 0.4909  3 Ho 2.74, 3 Ce 2.84
S 0.7476 0.2390 0.9915  3 Ho 2.74-2.76, 1 Pu 2.82, 2 Ce 2.84
S 0.7545 0.7636 0.5091  3 Ho 2.74, 3 Ce 2.84
S 0.2525 0.7610 0.5050  3 Ho 2.74-2.76, 1 Pu 2.82, 2 Ce 2.84
Ce 0.5000 0.5000 0.0000  6 S 2.84
Ce 0.0000 0.5000 0.5000  6 S 2.84
Ce 0.5000 0.5000 0.5000  6 S 2.84
Ho 0.5000 0.0000 0.5000  6 S 2.74
Ho 0.0000 0.0000 0.5000  6 S 2.74
Ho 0.5000 0.0000 0.0000  6 S 2.76
Ho 0.0000 0.0000 0.0000  6 S 2.74
Pu 0.0000 0.5000 0.0000  6 S 2.82



No. 5
First-principles (GGA-PBE) data for crystalline CeHoPu2Sb4 at its relaxed geometry, as listed in Alexandria.

Summary:
* V: 30.8 Å³/atom
* E_form (uncorrected): -0.823 eV per atom
* magnetization: 0.55 μB per formula unit
* energy: -62.25 eV per formula unit

Unit cell a=4.4358 b=7.6988 c=7.6545 alpha=109.47 beta=90.00 gamma=90.00
Last column: nearest neighbours and their distance in Å.
Fractional positions:
Sb 0.0000 0.2529 0.7516  2 Ho 3.12, 3 Pu 3.13-3.15, 1 Ce 3.14
Sb 0.5000 0.7466 0.7501  1 Ho 3.11, 3 Pu 3.13-3.16, 2 Ce 3.15
Sb 0.5000 0.2534 0.2499  1 Ho 3.11, 3 Pu 3.13-3.16, 2 Ce 3.15
Sb 0.0000 0.7471 0.2484  2 Ho 3.12, 3 Pu 3.13-3.15, 1 Ce 3.14
Ho 0.5000 0.5000 0.0000  6 Sb 3.11-3.12
Ce 0.0000 0.0000 0.0000  6 Sb 3.14-3.15
Pu 0.0000 0.5000 0.5000  6 Sb 3.13
Pu 0.5000 0.0000 0.5000  6 Sb 3.15-3.16



No. 6
First-principles (GGA-PBE) data for crystalline Ce3Ho2PuSe6 at its relaxed geometry, as listed in Alexandria.

Summary:
* V: 25.1 Å³/atom
* E_form (uncorrected): -1.755 eV per atom
* magnetization: 8.67 μB per formula unit
* energy: -83.25 eV per formula unit

Unit cell a=7.1525 b=7.1525 c=7.2184 alpha=99.50 beta=99.50 gamma=120.03
Last column: nearest neighbours and their distance in Å.
Fractional positions:
Se 0.7420 0.7420 0.2375  2 Ho 2.87, 1 Pu 2.90, 3 Ce 2.96-2.98
Se 0.2580 0.2580 0.7625  2 Ho 2.87, 1 Pu 2.90, 3 Ce 2.96-2.98
Se 0.5831 0.9200 0.7601  2 Ho 2.88, 1 Pu 2.91, 3 Ce 2.96-2.98
Se 0.9200 0.5831 0.7601  2 Ho 2.88, 1 Pu 2.91, 3 Ce 2.96-2.98
Se 0.0800 0.4169 0.2399  2 Ho 2.88, 1 Pu 2.91, 3 Ce 2.96-2.98
Se 0.4169 0.0800 0.2399  2 Ho 2.88, 1 Pu 2.91, 3 Ce 2.96-2.98
Ho 0.6672 0.3328 0.0000  6 Se 2.87-2.88
Ho 0.3328 0.6672 0.0000  6 Se 2.87-2.88
Pu 0.0000 0.0000 0.0000  6 Se 2.90-2.91
Ce 0.5000 0.5000 0.5000  6 Se 2.96-2.98
Ce 0.1651 0.8349 0.5000  6 Se 2.96-2.98
Ce 0.8349 0.1651 0.5000  6 Se 2.96-2.98



No. 7
First-principles (GGA-PBE) data for crystalline Ce3HoPu2Se6 at its relaxed geometry, as listed in Alexandria.

Summary:
* V: 25.5 Å³/atom
* E_form (uncorrected): -1.714 eV per atom
* magnetization: 14.51 μB per formula unit
* energy: -92.52 eV per formula unit

Unit cell a=7.1903 b=7.1903 c=7.2356 alpha=99.53 beta=99.53 gamma=120.03
Last column: nearest neighbours and their distance in Å.
Fractional positions:
Se 0.2487 0.2487 0.7570  1 Ho 2.89, 2 Pu 2.92, 3 Ce 2.97-2.99
Se 0.4100 0.0799 0.2405  1 Ho 2.89, 2 Pu 2.92, 3 Ce 2.97-2.99
Se 0.5900 0.9201 0.7595  1 Ho 2.89, 2 Pu 2.92, 3 Ce 2.97-2.99
Se 0.7513 0.7513 0.2430  1 Ho 2.89, 2 Pu 2.92, 3 Ce 2.97-2.99
Se 0.9201 0.5900 0.7595  1 Ho 2.89, 2 Pu 2.92, 3 Ce 2.97-2.99
Se 0.0799 0.4100 0.2405  1 Ho 2.89, 2 Pu 2.92, 3 Ce 2.97-2.99
Ho 0.0000 0.0000 0.0000  6 Se 2.89
Ce 0.1682 0.8318 0.5000  6 Se 2.97-2.99
Ce 0.5000 0.5000 0.5000  6 Se 2.97-2.99
Ce 0.8318 0.1682 0.5000  6 Se 2.97-2.99
Pu 0.3338 0.6662 0.0000  6 Se 2.92
Pu 0.6662 0.3338 0.0000  6 Se 2.92



No. 8
First-principles (GGA-PBE) data for crystalline CeHoPu2Se4 at its relaxed geometry, as listed in Alexandria.

Summary:
* V: 25.1 Å³/atom
* E_form (uncorrected): -1.666 eV per atom
* magnetization: 12.60 μB per formula unit
* energy: -66.44 eV per formula unit

Unit cell a=4.1293 b=7.1891 c=7.1587 alpha=109.29 beta=90.00 gamma=90.00
Last column: nearest neighbours and their distance in Å.
Fractional positions:
Se 0.5000 0.2432 0.2471  2 Ho 2.90, 3 Pu 2.90-2.96, 1 Ce 2.95
Se 0.0000 0.7569 0.2521  1 Ho 2.90, 3 Pu 2.90-2.95, 2 Ce 2.95
Se 0.5000 0.7568 0.7529  2 Ho 2.90, 3 Pu 2.90-2.96, 1 Ce 2.95
Se 0.0000 0.2431 0.7479  1 Ho 2.90, 3 Pu 2.90-2.95, 2 Ce 2.95
Ho 0.0000 0.0000 0.0000  6 Se 2.90
Pu 0.5000 0.0000 0.5000  6 Se 2.90
Pu 0.0000 0.5000 0.5000  6 Se 2.95-2.96
Ce 0.5000 0.5000 0.0000  6 Se 2.95



No. 9
First-principles (GGA-PBE) data for crystalline Ce4HoPu3Se8 at its relaxed geometry, as listed in Alexandria.

Summary:
* V: 25.6 Å³/atom
* E_form (uncorrected): -1.703 eV per atom
* magnetization: 21.38 μB per formula unit
* energy: -126.43 eV per formula unit

Unit cell a=8.3131 b=8.3514 c=8.3124 alpha=119.85 beta=120.00 gamma=90.00
Last column: nearest neighbours and their distance in Å.
Fractional positions:
Ho 0.0000 0.5000 0.0000  6 Se 2.89
Se 0.7545 0.2588 0.5091  1 Ho 2.89, 2 Pu 2.92, 3 Ce 2.97-3.00
Se 0.7545 0.2589 0.0043  1 Ho 2.89, 2 Pu 2.92, 3 Ce 2.97-3.00
Se 0.2524 0.2572 0.5048  3 Pu 2.92, 3 Ce 2.97
Se 0.7476 0.7428 0.4952  3 Pu 2.92, 3 Ce 2.97
Se 0.2498 0.2589 0.0043  1 Ho 2.89, 2 Pu 2.92, 3 Ce 2.97-3.00
Se 0.2455 0.7412 0.4909  1 Ho 2.89, 2 Pu 2.92, 3 Ce 2.97-3.00
Se 0.7502 0.7411 0.9957  1 Ho 2.89, 2 Pu 2.92, 3 Ce 2.97-3.00
Se 0.2455 0.7411 0.9957  1 Ho 2.89, 2 Pu 2.92, 3 Ce 2.97-3.00
Ce 0.5000 0.0000 0.5000  6 Se 2.97
Ce 0.5000 0.0000 0.0000  6 Se 3.00
Ce 0.0000 0.0000 0.5000  6 Se 2.97
Ce 0.0000 0.0000 0.0000  6 Se 2.97
Pu 0.5000 0.5000 0.5000  6 Se 2.92
Pu 0.5000 0.5000 0.0000  6 Se 2.92
Pu 0.0000 0.5000 0.5000  6 Se 2.92



No. 10
First-principles (GGA-PBE) data for crystalline Ce2Ho3PuSe6 at its relaxed geometry, as listed in Alexandria.

Summary:
* V: 24.8 Å³/atom
* E_form (uncorrected): -1.746 eV per atom
* magnetization: 8.05 μB per formula unit
* energy: -81.79 eV per formula unit

Unit cell a=4.0888 b=8.3102 c=9.2525 alpha=103.98 beta=102.77 gamma=90.00
Last column: nearest neighbours and their distance in Å.
Fractional positions:
Pu 0.5000 0.0000 0.0000  6 Se 2.94-2.95
Ho 0.8333 0.1664 0.6666  6 Se 2.86-2.89
Ho 0.5000 0.5000 0.0000  6 Se 2.86-2.88
Ho 0.1667 0.8336 0.3334  6 Se 2.86-2.89
Se 0.6633 0.5913 0.3266  3 Ho 2.86, 3 Ce 2.97
Se 0.0029 0.7464 0.0057  3 Ho 2.86-2.88, 2 Pu 2.95, 1 Ce 2.97
Se 0.3317 0.9247 0.6635  3 Ho 2.86-2.89, 1 Pu 2.94, 2 Ce 2.97
Se 0.3367 0.4087 0.6734  3 Ho 2.86, 3 Ce 2.97
Se 0.6683 0.0753 0.3365  3 Ho 2.86-2.89, 1 Pu 2.94, 2 Ce 2.97
Se 0.9971 0.2536 0.9943  3 Ho 2.86-2.88, 2 Pu 2.95, 1 Ce 2.97
Ce 0.1669 0.3340 0.3338  6 Se 2.97
Ce 0.8331 0.6660 0.6662  6 Se 2.97



No. 11
First-principles (GGA-PBE) data for crystalline CeHo2PuSe4 at its relaxed geometry, as listed in Alexandria.

Summary:
* V: 24.7 Å³/atom
* E_form (uncorrected): -1.724 eV per atom
* magnetization: 6.96 μB per formula unit
* energy: -57.15 eV per formula unit

Unit cell a=4.0829 b=7.0789 c=7.2187 alpha=109.03 beta=90.00 gamma=90.00
Last column: nearest neighbours and their distance in Å.
Fractional positions:
Se 0.0000 0.2489 0.7403  3 Ho 2.86-2.88, 2 Pu 2.94, 1 Ce 2.96
Se 0.5000 0.7438 0.7382  3 Ho 2.86-2.88, 1 Pu 2.95, 2 Ce 2.97
Se 0.5000 0.2562 0.2618  3 Ho 2.86-2.88, 1 Pu 2.95, 2 Ce 2.97
Se 0.0000 0.7511 0.2597  3 Ho 2.86-2.88, 2 Pu 2.94, 1 Ce 2.96
Ho 0.5000 0.0000 0.5000  6 Se 2.88
Ho 0.0000 0.5000 0.5000  6 Se 2.86
Pu 0.5000 0.5000 0.0000  6 Se 2.94-2.95
Ce 0.0000 0.0000 0.0000  6 Se 2.96-2.97



No. 12
First-principles (GGA-PBE) data for crystalline CeHo3Pu2Se6 at its relaxed geometry, as listed in Alexandria.

Summary:
* V: 24.6 Å³/atom
* E_form (uncorrected): -1.704 eV per atom
* magnetization: 12.79 μB per formula unit
* energy: -89.69 eV per formula unit

Unit cell a=4.0839 b=8.2763 c=9.2263 alpha=103.88 beta=102.79 gamma=90.00
Last column: nearest neighbours and their distance in Å.
Fractional positions:
Ho 0.8331 0.1673 0.6662  6 Se 2.85-2.88
Ho 0.1669 0.8327 0.3338  6 Se 2.85-2.88
Ho 0.5000 0.5000 0.0000  6 Se 2.85-2.89
Se 0.0021 0.7417 0.0042  3 Ho 2.85-2.87, 1 Pu 2.94, 2 Ce 2.96
Se 0.6655 0.5865 0.3310  3 Ho 2.88-2.89, 3 Pu 2.94
Se 0.3303 0.9210 0.6607  3 Ho 2.85-2.88, 2 Pu 2.93, 1 Ce 2.96
Se 0.6697 0.0790 0.3393  3 Ho 2.85-2.88, 2 Pu 2.93, 1 Ce 2.96
Se 0.9979 0.2583 0.9958  3 Ho 2.85-2.87, 1 Pu 2.94, 2 Ce 2.96
Se 0.3345 0.4135 0.6690  3 Ho 2.88-2.89, 3 Pu 2.94
Ce 0.5000 0.0000 0.0000  6 Se 2.96
Pu 0.1660 0.3317 0.3321  6 Se 2.93-2.94
Pu 0.8340 0.6683 0.6679  6 Se 2.93-2.94